Compound: Ag5Te2Cl
Source: Alexandria via LeMat-Bulk
Functional: PBE-GGA
Structure: relaxed

a b c (Å): 5.178 5.022 8.598
angles (deg): 107.00 106.50 89.98
Sites, in units of the cell vectors:
Ag 0.992 0.622 0.243
Ag 0.628 0.106 0.213
Ag 0.372 0.894 0.787
Ag 0.000 0.000 0.000
Ag 0.008 0.378 0.757
Te 0.203 0.176 0.352
Te 0.797 0.824 0.648
Cl 0.500 0.500 0.000

## Properties
ΔE to the lowest computed polymorph, meV per atom: 54
E_form (uncorrected), eV per atom: -0.112

=====

Compound: Li2LaCd2Hg2
Source: Alexandria via LeMat-Bulk
Functional: PBE-GGA
Structure: relaxed

a b c (Å): 4.958 4.958 8.145
angles (deg): 72.28 72.28 60.00
Sites, in units of the cell vectors:
La 0.000 0.000 0.000
Hg 0.425 0.425 0.726
Hg 0.575 0.575 0.274
Cd 0.739 0.739 0.784
Cd 0.261 0.261 0.216
Li 0.142 0.142 0.573
Li 0.858 0.858 0.427

## Properties
Formation enthalpy at 0 K, kJ per mole of atoms: -27.7

=====

Compound: PmPr2SmBi5
Source: Alexandria via LeMat-Bulk
Functional: PBE-GGA
Structure: relaxed

a b c (Å): 5.516 5.516 12.114
angles (deg): 90.00 90.00 90.00
Sites, in units of the cell vectors:
Sm 0.000 0.000 0.500
Bi 0.500 0.000 0.500
Bi 0.000 0.000 0.753
Bi 0.500 0.500 0.000
Bi 0.000 0.500 0.500
Bi 0.000 0.000 0.247
Pr 0.500 0.500 0.274
Pr 0.500 0.500 0.726
Pm 0.000 0.000 0.000

## Properties
Formation enthalpy at 0 K, kJ per mole of atoms: -10.8

=====

Compound: Na2TlSnAu
Source: Alexandria via LeMat-Bulk
Functional: PBE-GGA
Structure: relaxed

a b c (Å): 5.597 5.597 5.100
angles (deg): 90.00 90.00 90.00
Sites, in units of the cell vectors:
Au 0.000 0.000 0.000
Na 0.500 0.000 0.000
Na 0.000 0.500 0.000
Tl 0.500 0.500 0.500
Sn 0.000 0.000 0.500

## Properties
Formation enthalpy at 0 K, kJ per mole of atoms: -8.3

=====

Compound: DyHoLuMg
Source: Alexandria via LeMat-Bulk
Functional: PBE-GGA
Structure: relaxed

a b c (Å): 5.447 5.447 5.447
angles (deg): 60.00 60.00 60.00
Sites, in units of the cell vectors:
Dy 0.750 0.750 0.750
Ho 0.250 0.250 0.250
Mg 0.000 0.000 0.000
Lu 0.500 0.500 0.500

## Properties
Formation enthalpy at 0 K, kJ per mole of atoms: 3.0

=====

Compound: NaLi3Ac2Pb4
Source: Alexandria via LeMat-Bulk
Functional: PBE-GGA
Structure: relaxed

a b c (Å): 4.674 4.674 12.957
angles (deg): 90.00 90.00 90.00
Sites, in units of the cell vectors:
Ac 0.500 0.000 0.230
Ac 0.000 0.500 0.770
Li 0.000 0.000 0.500
Li 0.000 0.500 0.129
Li 0.500 0.000 0.871
Pb 0.000 0.500 0.340
Pb 0.500 0.500 0.000
Pb 0.500 0.000 0.660
Pb 0.000 0.000 0.000
Na 0.500 0.500 0.500

## Properties
Formation enthalpy at 0 K, kJ per mole of atoms: -35.8

=====

Compound: AlSbI2Cl
Source: Alexandria via LeMat-Bulk
Functional: PBE-GGA
Structure: relaxed

a b c (Å): 6.761 6.761 4.909
angles (deg): 90.00 90.00 90.00
Sites, in units of the cell vectors:
Cl 0.000 0.000 0.000
I 0.000 0.500 0.000
I 0.500 0.000 0.000
Sb 0.000 0.000 0.500
Al 0.500 0.500 0.500

## Properties
ΔE to the lowest computed polymorph, meV per atom: 427
E_form (uncorrected), eV per atom: 0.535

=====

Compound: Tb5PmPb6
Source: Alexandria via LeMat-Bulk
Functional: PBE-GGA
Structure: relaxed

a b c (Å): 8.764 6.149 8.257
angles (deg): 68.14 79.59 60.97
Sites, in units of the cell vectors:
Pm 0.000 0.000 0.000
Pb 0.246 0.261 0.000
Pb 0.745 0.088 0.337
Pb 0.754 0.739 0.000
Pb 0.745 0.425 0.663
Pb 0.255 0.912 0.663
Pb 0.255 0.575 0.337
Tb 0.500 0.837 0.327
Tb 0.000 0.669 0.662
Tb 0.000 0.331 0.338
Tb 0.500 0.500 0.000
Tb 0.500 0.163 0.673

## Properties
Formation enthalpy at 0 K, kJ per mole of atoms: -43.9

=====

Compound: Nd2ZnGa2Rh5
Source: Alexandria via LeMat-Bulk
Functional: PBE-GGA
Structure: relaxed

a b c (Å): 3.544 9.938 9.938
angles (deg): 90.00 90.00 90.00
Sites, in units of the cell vectors:
Ga 0.000 0.125 0.625
Ga 0.000 0.375 0.125
Ga 0.000 0.625 0.875
Ga 0.000 0.875 0.375
Zn 0.000 0.000 0.000
Zn 0.000 0.500 0.500
Nd 0.000 0.175 0.325
Nd 0.000 0.825 0.675
Nd 0.000 0.325 0.825
Nd 0.000 0.675 0.175
Rh 0.500 0.500 0.000
Rh 0.500 0.064 0.797
Rh 0.500 0.297 0.564
Rh 0.500 0.703 0.436
Rh 0.500 0.564 0.703
Rh 0.500 0.000 0.500
Rh 0.500 0.203 0.064
Rh 0.500 0.436 0.297
Rh 0.500 0.797 0.936
Rh 0.500 0.936 0.203

## Properties
Formation enthalpy at 0 K, kJ per mole of atoms: -62.1

=====

Compound: CsTiReRu2
Source: Alexandria via LeMat-Bulk
Functional: PBE-GGA
Structure: relaxed

a b c (Å): 4.795 4.973 4.795
angles (deg): 90.00 90.00 90.00
Sites, in units of the cell vectors:
Ti 0.500 0.500 0.500
Ru 0.000 0.000 0.500
Ru 0.500 0.000 0.000
Re 0.000 0.500 0.000
Cs 0.000 0.000 0.000

## Properties
Formation enthalpy at 0 K, kJ per mole of atoms: 298.0

=====

Compound: ZrNiPtS2
Source: Alexandria via LeMat-Bulk
Functional: PBE-GGA
Structure: relaxed

a b c (Å): 4.882 5.125 4.882
angles (deg): 90.00 90.00 90.00
Sites, in units of the cell vectors:
Ni 0.500 0.500 0.500
S 0.000 0.000 0.500
S 0.500 0.000 0.000
Zr 0.000 0.000 0.000
Pt 0.000 0.500 0.000

## Properties
E_form (uncorrected), eV per atom: 0.422

=====

Compound: Re2AgHg
Source: Alexandria via LeMat-Bulk
Functional: PBE-GGA
Structure: relaxed

a b c (Å): 4.861 4.861 4.861
angles (deg): 129.67 129.67 73.93
Sites, in units of the cell vectors:
Re 0.000 0.000 0.000
Re 0.250 0.750 0.500
Ag 0.500 0.500 0.000
Hg 0.750 0.250 0.500

## Properties
Formation enthalpy at 0 K, kJ per mole of atoms: 83.1